1.
# CsLiHgTe | Alexandria | PBE-GGA | relaxed
# formation energy without anion corrections	-3.1	eV/f.u.
# density	5.044	Mg/m³
# crystal system	tetragonal
data_CsLiHgTe
_chemical_formula_sum 'Cs2 Li2 Hg2 Te2'
_cell_length_a 4.9039
_cell_length_b 4.9039
_cell_length_c 12.8148
_cell_angle_alpha 90.00
_cell_angle_beta 90.00
_cell_angle_gamma 90.00
_space_group_name_H-M_alt 'P 4/n m m'
_space_group_IT_number 129
loop_
_space_group_symop_operation_xyz
'x,y,z'
'-x,-y,-z'
'-y+1/2,x,z'
'y+1/2,-x,-z'
'-x+1/2,-y+1/2,z'
'x+1/2,y+1/2,-z'
'y,-x+1/2,z'
'-y,x+1/2,-z'
'x+1/2,-y,-z'
'-x+1/2,y,z'
'-y,-x,-z'
'y,x,z'
'-x,y+1/2,-z'
'x,-y+1/2,z'
'y+1/2,x+1/2,-z'
'-y+1/2,-x+1/2,z'
loop_
_atom_site_label
_atom_site_type_symbol
_atom_site_fract_x
_atom_site_fract_y
_atom_site_fract_z
_atom_site_occupancy
Cs1 Cs 0.2500 0.2500 0.2356 1
Li1 Li 0.2500 0.7500 0.0000 1
Hg1 Hg 0.2500 0.7500 0.5000 1
Te1 Te 0.2500 0.2500 0.8837 1

---

2.
# Mg6BC | Alexandria | PBE-GGA | relaxed
# E_form	0.36	eV/atom
# energy above the most stable polymorph in this dataset	0.0	meV/atom
# density	2.051	Mg/m³
# crystal system	orthorhombic
data_Mg6BC
_chemical_formula_sum 'Mg12 B2 C2'
_cell_length_a 3.2799
_cell_length_b 7.8589
_cell_length_c 10.5953
_cell_angle_alpha 90.00
_cell_angle_beta 90.00
_cell_angle_gamma 90.00
_space_group_name_H-M_alt 'A m m 2'
_space_group_IT_number 38
loop_
_space_group_symop_operation_xyz
'x,y,z'
'-x,-y,z'
'-x,y,z'
'x,-y,z'
'x,y+1/2,z+1/2'
'-x,-y+1/2,z+1/2'
'-x,y+1/2,z+1/2'
'x,-y+1/2,z+1/2'
loop_
_atom_site_label
_atom_site_type_symbol
_atom_site_fract_x
_atom_site_fract_y
_atom_site_fract_z
_atom_site_occupancy
Mg1 Mg 0.0000 0.0000 0.0000 1
Mg2 Mg 0.0000 0.1775 0.7720 1
Mg3 Mg 0.5000 0.0000 0.2395 1
Mg4 Mg 0.5000 0.1853 0.5064 1
B1 B 0.0000 0.0000 0.4058 1
C1 C 0.5000 0.0000 0.8523 1

---

Number 1: M_tot 0.000 μB per atom. Number 2: M_tot 0.000 μB per atom.